First-principles (PBE) data for BaHf2Pt2 after structural relaxation, as listed in Alexandria via LeMat-Bulk.

```
data_BaHf2Pt2
_chemical_formula_sum 'Ba1 Hf2 Pt2'
_cell_length_a 4.6904
_cell_length_b 4.6904
_cell_length_c 6.5277
_cell_angle_alpha 68.94
_cell_angle_beta 68.94
_cell_angle_gamma 90.00
_symmetry_space_group_name_H-M 'P 1'
_symmetry_Int_Tables_number 1
_symmetry_space_group_name_Hall 'P 1'
loop_
_atom_site_label
_atom_site_type_symbol
_atom_site_fract_x
_atom_site_fract_y
_atom_site_fract_z
Pt1 Pt 0.3694 0.3694 0.2612
Pt2 Pt 0.6306 0.6306 0.7388
Hf1 Hf 0.2500 0.7500 0.5000
Hf2 Hf 0.7500 0.2500 0.5000
Ba1 Ba 0.0000 0.0000 0.0000
```

Computed properties:
formation energy from the elements = -0.7897 eV per atom
energy above the lowest structure with this stoichiometry = 0.0000 eV per atom
M_tot = 0.00 μB per formula unit

---

First-principles (PBE) data for BaHf2Pt2 after structural relaxation, as listed in Alexandria via LeMat-Bulk.

```
data_BaHf2Pt2
_chemical_formula_sum 'Ba2 Hf4 Pt4'
_cell_length_a 8.2615
_cell_length_b 8.2615
_cell_length_c 3.3551
_cell_angle_alpha 90.00
_cell_angle_beta 90.00
_cell_angle_gamma 90.00
_symmetry_space_group_name_H-M 'P 1'
_symmetry_Int_Tables_number 1
_symmetry_space_group_name_Hall 'P 1'
loop_
_atom_site_label
_atom_site_type_symbol
_atom_site_fract_x
_atom_site_fract_y
_atom_site_fract_z
Pt1 Pt 0.3744 0.8744 0.0000
Pt2 Pt 0.6256 0.1256 0.0000
Pt3 Pt 0.8744 0.6256 0.0000
Pt4 Pt 0.1256 0.3744 0.0000
Hf1 Hf 0.8534 0.3534 0.5000
Hf2 Hf 0.3534 0.1466 0.5000
Hf3 Hf 0.1466 0.6466 0.5000
Hf4 Hf 0.6466 0.8534 0.5000
Ba1 Ba 0.0000 0.0000 0.0000
Ba2 Ba 0.5000 0.5000 0.0000
```

Computed properties:
formation energy from the elements = -0.4477 eV per atom
energy above the lowest structure with this stoichiometry = 0.3420 eV per atom
M_tot = 0.00 μB per formula unit

---

First-principles (PBE) data for BaHfPt2 after structural relaxation, as listed in Alexandria via LeMat-Bulk.

```
data_BaHfPt2
_chemical_formula_sum 'Ba1 Hf1 Pt2'
_cell_length_a 3.4225
_cell_length_b 3.4225
_cell_length_c 7.8604
_cell_angle_alpha 90.00
_cell_angle_beta 90.00
_cell_angle_gamma 90.00
_symmetry_space_group_name_H-M 'P 1'
_symmetry_Int_Tables_number 1
_symmetry_space_group_name_Hall 'P 1'
loop_
_atom_site_label
_atom_site_type_symbol
_atom_site_fract_x
_atom_site_fract_y
_atom_site_fract_z
Hf1 Hf 0.5000 0.5000 0.0000
Pt1 Pt 0.0000 0.0000 0.1840
Pt2 Pt 0.0000 0.0000 0.8160
Ba1 Ba 0.5000 0.5000 0.5000
```

Computed properties:
formation energy from the elements = -0.8500 eV per atom
energy above the lowest structure with this stoichiometry = 0.0000 eV per atom
M_tot = 0.00 μB per formula unit

---

First-principles (PBE) data for RbBaHf2Pt after structural relaxation, as listed in Alexandria via LeMat-Bulk.

```
data_RbBaHf2Pt
_chemical_formula_sum 'Rb1 Ba1 Hf2 Pt1'
_cell_length_a 5.5965
_cell_length_b 5.6500
_cell_length_c 5.5965
_cell_angle_alpha 90.00
_cell_angle_beta 90.00
_cell_angle_gamma 90.00
_symmetry_space_group_name_H-M 'P 1'
_symmetry_Int_Tables_number 1
_symmetry_space_group_name_Hall 'P 1'
loop_
_atom_site_label
_atom_site_type_symbol
_atom_site_fract_x
_atom_site_fract_y
_atom_site_fract_z
Rb1 Rb 0.5000 0.5000 0.5000
Hf1 Hf 0.0000 0.0000 0.5000
Hf2 Hf 0.5000 0.0000 0.0000
Ba1 Ba 0.0000 0.0000 0.0000
Pt1 Pt 0.0000 0.5000 0.0000
```

Computed properties:
formation energy from the elements = 1.7489 eV per atom
M_tot = 0.00 μB per formula unit